A plane-wave DFT calculation with PBE was carried out for crystalline TbSm6In5 at its relaxed geometry.

The calculation puts the density of states at the Fermi level at 12.71 states/eV/f.u. As for the total magnetic moment: 0.00 μB/atom. The energy above the lowest structure with this stoichiometry is 0.137 eV per atom.

It has space group C2/m (No. 12), with a = 10.545 Å, b = 11.548 Å, c = 6.176 Å, α = 90.00°, β = 104.00° and γ = 90.00°. The inequivalent atoms are Tb at (0.000, 0.000, 0.000), Sm at (0.217, 0.500, 0.213), Sm at (0.222, 0.317, 0.729), In at (0.000, 0.130, 0.500), In at (0.000, 0.292, 0.000) and In at (0.000, 0.500, 0.500).

A plane-wave DFT calculation with PBE was carried out for crystalline Tb3SmIn4 at its relaxed geometry.

The calculation puts the density of states at the Fermi level at 6.82 states/eV/f.u. As for the total magnetic moment: 0.02 μB/atom. The energy above the lowest structure with this stoichiometry is 0.165 eV per atom.

It has space group Immm (No. 71), with a = 3.469 Å, b = 7.152 Å, c = 18.850 Å, α = 90.00°, β = 90.00° and γ = 90.00°. The inequivalent atoms are Tb at (0.000, 0.000, 0.000), Tb at (0.000, 0.500, 0.220), Sm at (0.000, 0.000, 0.500) and In at (0.000, 0.289, 0.373).

A plane-wave DFT calculation with PBE was carried out for crystalline Tb12Sm2In at its relaxed geometry.

The value obtained for the final energy is -0.3253 Ry per atom. The calculation puts the density of states at the Fermi level at 20.95 states/eV/f.u. As for the total magnetic moment: 0.00 μB/atom.

It has space group Pmmm (No. 47), with a = 3.572 Å, b = 5.677 Å, c = 24.249 Å, α = 90.00°, β = 90.00° and γ = 90.00°. The inequivalent atoms are Tb at (0.000, 0.000, 0.064), Tb at (0.000, 0.000, 0.428), Tb at (0.500, 0.000, 0.177), Tb at (0.500, 0.000, 0.307), Tb at (0.500, 0.500, 0.087), Tb at (0.500, 0.500, 0.382), Sm at (0.000, 0.500, 0.238) and In at (0.000, 0.500, 0.500).

A plane-wave DFT calculation with PBE was carried out for crystalline TbSm4In3 at its relaxed geometry.

The value obtained for the final energy is -0.3146 Ry per atom. The calculation puts the density of states at the Fermi level at 10.18 states/eV/f.u. As for the total magnetic moment: 0.00 μB/atom.

It has space group Pmma (No. 51), with a = 11.180 Å, b = 7.029 Å, c = 5.883 Å, α = 90.00°, β = 90.00° and γ = 90.00°. The inequivalent atoms are Tb at (0.000, 0.000, 0.000), Sm at (0.000, 0.253, 0.500), Sm at (0.250, 0.257, 0.123), In at (0.000, 0.500, 0.000), In at (0.250, 0.000, 0.637) and In at (0.250, 0.500, 0.635).

A plane-wave DFT calculation with PBE was carried out for crystalline TbSm3In4 at its relaxed geometry.

The calculation puts the density of states at the Fermi level at 4.79 states/eV/f.u. As for the total magnetic moment: 0.00 μB/atom. The energy above the lowest structure with this stoichiometry is 0.000 eV per atom.

It has space group P4/mmm (No. 123), with a = 3.816 Å, b = 3.816 Å, c = 15.285 Å, α = 90.00°, β = 90.00° and γ = 90.00°. The inequivalent atoms are Tb at (0.000, 0.000, 0.000), Sm at (0.000, 0.000, 0.247), Sm at (0.000, 0.000, 0.500), In at (0.500, 0.500, 0.120) and In at (0.500, 0.500, 0.374).

A plane-wave DFT calculation with PBE was carried out for crystalline TbSmIn6 at its relaxed geometry.

The calculation puts the density of states at the Fermi level at 4.54 states/eV/f.u. As for the total magnetic moment: 0.00 μB/atom. The energy above the lowest structure with this stoichiometry is 0.064 eV per atom.

It has space group P-6m2 (No. 187), with a = 6.6624 Å, b = 6.6624 Å, c = 5.3036 Å, α = 90.00°, β = 90.00° and γ = 120.00°. The inequivalent atoms are Tb at (0.0000, 0.0000, 0.0000), Sm at (0.3333, 0.6667, 0.5000), In at (0.3439, 0.1720, 0.5000) and In at (0.5072, 0.0144, 0.0000).

A plane-wave DFT calculation with PBE was carried out for crystalline Tb2Sm6In3 at its relaxed geometry.

The value obtained for the final energy is -0.2902 Ry per atom. The calculation puts the density of states at the Fermi level at 8.83 states/eV/f.u. As for the total magnetic moment: 0.00 μB/atom.

It has space group I4/mmm (No. 139), with a = 5.401 Å, b = 5.401 Å, c = 24.624 Å, α = 90.00°, β = 90.00° and γ = 90.00°. The inequivalent atoms are Tb at (0.000, 0.000, 0.058), Sm at (0.000, 0.000, 0.197), Sm at (0.000, 0.500, 0.100), In at (0.000, 0.000, 0.325) and In at (0.000, 0.000, 0.500).

A plane-wave DFT calculation with PBE was carried out for crystalline Tb4SmIn2 at its relaxed geometry.

The calculation puts the density of states at the Fermi level at 9.95 states/eV/f.u. As for the total magnetic moment: 0.05 μB/atom. The energy above the lowest structure with this stoichiometry is 0.182 eV per atom.

It has space group R-3m (No. 166, hexagonal axes), with a = 5.1329 Å, b = 5.1329 Å, c = 31.3664 Å, α = 90.00°, β = 90.00° and γ = 120.00°. The inequivalent atoms are Tb at (0.0000, 0.0000, 0.1078), Tb at (0.0000, 0.0000, 0.2967), Sm at (0.0000, 0.0000, 0.5000) and In at (0.0000, 0.0000, 0.3996).

A plane-wave DFT calculation with PBE was carried out for crystalline TbSmIn at its relaxed geometry.

The calculation puts the density of states at the Fermi level at 3.52 states/eV/f.u. As for the total magnetic moment: 0.25 μB/atom. The energy above the lowest structure with this stoichiometry is 0.065 eV per atom.

It has space group P4/nmm (No. 129, origin choice 2), with a = 4.695 Å, b = 4.695 Å, c = 8.385 Å, α = 90.00°, β = 90.00° and γ = 90.00°. The inequivalent atoms are Tb at (0.250, 0.750, 0.000), Sm at (0.250, 0.250, 0.353) and In at (0.250, 0.250, 0.733).

A plane-wave DFT calculation with PBE was carried out for crystalline TbSm3In at its relaxed geometry.

The calculation puts the density of states at the Fermi level at 5.45 states/eV/f.u. As for the total magnetic moment: 0.00 μB/atom. The energy above the lowest structure with this stoichiometry is 0.355 eV per atom.

It has space group Ima2 (No. 46), with a = 11.205 Å, b = 8.515 Å, c = 6.922 Å, α = 90.00°, β = 90.00° and γ = 90.00°. The inequivalent atoms are Tb at (0.250, 0.249, 0.000), Sm at (0.019, 0.747, 0.122), Sm at (0.250, 0.569, 0.828) and In at (0.250, 0.566, 0.313).

A plane-wave DFT calculation with PBE was carried out for crystalline Tb3SmIn3 at its relaxed geometry.

The calculation puts the density of states at the Fermi level at 5.67 states/eV/f.u. As for the total magnetic moment: 0.00 μB/atom. The energy above the lowest structure with this stoichiometry is 0.000 eV per atom.

It has space group P6_3/m (No. 176), with a = 9.4515 Å, b = 9.4515 Å, c = 5.1722 Å, α = 90.00°, β = 90.00° and γ = 120.00°. The inequivalent atoms are Tb at (0.0000, 0.2337, 0.2500), Sm at (0.3333, 0.6667, 0.2500) and In at (0.0690, 0.4531, 0.7500).

A plane-wave DFT calculation with PBE was carried out for crystalline Tb4SmIn at its relaxed geometry.

The calculation puts the density of states at the Fermi level at 7.36 states/eV/f.u. As for the total magnetic moment: 0.00 μB/atom. The energy above the lowest structure with this stoichiometry is 0.000 eV per atom.

It has space group P4/mmm (No. 123), with a = 3.591 Å, b = 3.591 Å, c = 14.356 Å, α = 90.00°, β = 90.00° and γ = 90.00°. The inequivalent atoms are Tb at (0.000, 0.000, 0.147), Tb at (0.500, 0.500, 0.322), Sm at (0.000, 0.000, 0.500) and In at (0.500, 0.500, 0.000).

A plane-wave DFT calculation with PBE was carried out for crystalline TbSm4In2 at its relaxed geometry.

The calculation puts the density of states at the Fermi level at 9.43 states/eV/f.u. As for the total magnetic moment: 0.00 μB/atom. The energy above the lowest structure with this stoichiometry is 0.000 eV per atom.

It has space group P2_1/c (No. 14), with a = 5.431 Å, b = 12.433 Å, c = 6.449 Å, α = 90.00°, β = 90.03° and γ = 90.00°. The inequivalent atoms are Tb at (0.000, 0.000, 0.000), Sm at (0.002, 0.160, 0.501), Sm at (0.499, 0.670, 0.651) and In at (0.498, 0.568, 0.191).

A plane-wave DFT calculation with PBE was carried out for crystalline Tb3SmIn2 at its relaxed geometry.

The calculation puts the density of states at the Fermi level at 7.69 states/eV/f.u. As for the total magnetic moment: 0.00 μB/atom. The energy above the lowest structure with this stoichiometry is 0.437 eV per atom.

It has space group Immm (No. 71), with a = 3.440 Å, b = 5.622 Å, c = 18.882 Å, α = 90.00°, β = 90.00° and γ = 90.00°. The inequivalent atoms are Tb at (0.000, 0.000, 0.000), Tb at (0.000, 0.500, 0.189), Sm at (0.000, 0.500, 0.000) and In at (0.000, 0.500, 0.356).

A plane-wave DFT calculation with PBE was carried out for crystalline Tb5SmIn8 at its relaxed geometry.

The value obtained for the final energy is -0.2871 Ry per atom. The calculation puts the density of states at the Fermi level at 11.92 states/eV/f.u. As for the total magnetic moment: 0.00 μB/atom.

It has space group I-4 (No. 82), with a = 9.204 Å, b = 9.204 Å, c = 9.282 Å, α = 90.00°, β = 90.00° and γ = 90.00°. The inequivalent atoms are Tb at (0.000, 0.000, 0.000), Tb at (0.128, 0.246, 0.621), Sm at (0.000, 0.500, 0.250), In at (0.083, 0.336, 0.953) and In at (0.087, 0.163, 0.289).

A plane-wave DFT calculation with PBE was carried out for crystalline Tb3SmIn3 at its relaxed geometry.

The calculation puts the density of states at the Fermi level at 8.60 states/eV/f.u. As for the total magnetic moment: 0.00 μB/atom. The energy above the lowest structure with this stoichiometry is 0.030 eV per atom.

It has space group P2_13 (No. 198), with a = 9.387 Å, b = 9.387 Å, c = 9.387 Å, α = 90.00°, β = 90.00° and γ = 90.00°. The inequivalent atoms are Tb at (0.079, 0.421, 0.579), Tb at (0.176, 0.824, 0.324), Tb at (0.177, 0.177, 0.177), Sm at (0.072, 0.572, 0.928) and In at (0.001, 0.745, 0.621).

A plane-wave DFT calculation with PBE was carried out for crystalline TbSm4In5 at its relaxed geometry.

The value obtained for the final energy is -0.3093 Ry per atom. The calculation puts the density of states at the Fermi level at 5.60 states/eV/f.u. As for the total magnetic moment: 0.00 μB/atom.

It has space group P4/mmm (No. 123), with a = 3.819 Å, b = 3.819 Å, c = 19.101 Å, α = 90.00°, β = 90.00° and γ = 90.00°. The inequivalent atoms are Tb at (0.000, 0.000, 0.000), Sm at (0.000, 0.000, 0.198), Sm at (0.000, 0.000, 0.399), In at (0.500, 0.500, 0.096), In at (0.500, 0.500, 0.299) and In at (0.500, 0.500, 0.500).

A plane-wave DFT calculation with PBE was carried out for crystalline TbSm14In at its relaxed geometry.

The value obtained for the final energy is -0.3399 Ry per atom. The calculation puts the density of states at the Fermi level at 21.58 states/eV/f.u. As for the total magnetic moment: 0.00 μB/atom.

It has space group P4/mmm (No. 123), with a = 7.173 Å, b = 7.173 Å, c = 10.179 Å, α = 90.00°, β = 90.00° and γ = 90.00°. The inequivalent atoms are Tb at (0.000, 0.000, 0.000), Sm at (0.000, 0.000, 0.500), Sm at (0.000, 0.500, 0.000), Sm at (0.000, 0.500, 0.500), Sm at (0.251, 0.251, 0.246), Sm at (0.500, 0.500, 0.500) and In at (0.500, 0.500, 0.000).

A plane-wave DFT calculation with PBE was carried out for crystalline Tb3Sm3In at its relaxed geometry.

The calculation puts the density of states at the Fermi level at 10.50 states/eV/f.u. As for the total magnetic moment: 0.00 μB/atom. The energy above the lowest structure with this stoichiometry is 0.088 eV per atom.

It has space group Pnma (No. 62), with a = 13.441 Å, b = 5.227 Å, c = 12.818 Å, α = 90.00°, β = 90.00° and γ = 90.00°. The inequivalent atoms are Tb at (0.017, 0.250, 0.067), Tb at (0.055, 0.250, 0.570), Tb at (0.226, 0.750, 0.439), Sm at (0.087, 0.250, 0.308), Sm at (0.177, 0.750, 0.729), Sm at (0.187, 0.750, 0.123) and In at (0.054, 0.250, 0.816).

A plane-wave DFT calculation with PBE was carried out for crystalline TbSm6In at its relaxed geometry.

The value obtained for the final energy is -0.3365 Ry per atom. The calculation puts the density of states at the Fermi level at 8.92 states/eV/f.u. As for the total magnetic moment: 0.00 μB/atom.

It has space group P4/mmm (No. 123), with a = 4.978 Å, b = 4.978 Å, c = 10.231 Å, α = 90.00°, β = 90.00° and γ = 90.00°. The inequivalent atoms are Tb at (0.000, 0.000, 0.000), Sm at (0.000, 0.500, 0.257), Sm at (0.500, 0.500, 0.000), Sm at (0.500, 0.500, 0.500) and In at (0.000, 0.000, 0.500).